1.
Crystalline TaTi3Ru4 at its relaxed geometry, computed with GGA-PBE.

## Properties
The value obtained for the mass density is 10.09 Mg/m³. The formation energy comes out at -513 kJ/mol of formula units.

a b c (Å): 3.104 4.399 8.781
angles (deg): 90.00 90.00 90.00
Space group Pmmm (No. 47)
Inequivalent atoms, fractional coordinates:
Ta  0.000  0.000  0.000 x1
Ti  0.000  0.000  0.500 x1
Ti  0.000  0.500  0.255 x2
Ru  0.500  0.000  0.253 x2
Ru  0.500  0.500  0.000 x1
Ru  0.500  0.500  0.500 x1

=====

2.
Crystalline Ta2TiRu at its relaxed geometry, computed with GGA-PBE.

## Properties
The value obtained for the mass density is 11.68 Mg/m³. The formation energy comes out at 130 kJ/mol of formula units.

a b c (Å): 7.305 7.305 5.444
angles (deg): 90.00 90.00 90.00
Space group I-42d (No. 122)
Inequivalent atoms, fractional coordinates:
Ta  0.220  0.250  0.125 x8
Ti  0.000  0.000  0.500 x4
Ru  0.000  0.000  0.000 x4

=====

3.
Crystalline Ta2TiRu3 at its relaxed geometry, computed with GGA-PBE.

## Properties
The value obtained for the mass density is 12.70 Mg/m³. The formation energy comes out at -271 kJ/mol of formula units.

a b c (Å): 3.074 3.074 9.867
angles (deg): 90.00 90.00 90.00
Space group P4/mmm (No. 123)
Inequivalent atoms, fractional coordinates:
Ta  0.000  0.000  0.173 x2
Ti  0.000  0.000  0.500 x1
Ru  0.500  0.500  0.000 x1
Ru  0.500  0.500  0.343 x2

=====

4.
Crystalline Ta2TiRu at its relaxed geometry, computed with GGA-PBE.

## Properties
The value obtained for the mass density is 12.79 Mg/m³. The formation energy comes out at -128 kJ/mol of formula units.

a b c (Å): 6.320 6.313 7.354
angles (deg): 90.00 115.33 90.00
Space group C2/m (No. 12)
Inequivalent atoms, fractional coordinates:
Ta  0.131  0.000  0.262 x4
Ta  0.250  0.250  0.000 x4
Ti  0.133  0.500  0.266 x4
Ru  0.000  0.250  0.500 x4

=====

5.
Crystalline Ta5Ti2Ru at its relaxed geometry, computed with GGA-PBE.

## Properties
The value obtained for the mass density is 13.27 Mg/m³. The formation energy comes out at -107 kJ/mol of formula units.

a b c (Å): 6.585 13.014 3.217
angles (deg): 90.00 90.00 90.00
Space group Pbam (No. 55)
Inequivalent atoms, fractional coordinates:
Ta  0.000  0.000  0.000 x2
Ta  0.008  0.244  0.000 x4
Ta  0.246  0.377  0.500 x4
Ti  0.230  0.619  0.500 x4
Ru  0.000  0.500  0.000 x2

=====

6.
Crystalline TaTiVRu at its relaxed geometry, computed with GGA-PBE.

## Properties
The value obtained for the mass density is 10.28 Mg/m³. The formation energy comes out at -131 kJ/mol of formula units.

a b c (Å): 3.111 3.111 6.357
angles (deg): 90.00 90.00 90.00
Space group P4mm (No. 99)
Inequivalent atoms, fractional coordinates:
Ta  0.000  0.000  0.000 x1
Ti  0.000  0.000  0.499 x1
V  0.500  0.500  0.746 x1
Ru  0.500  0.500  0.253 x1

=====

7.
Crystalline Ta2TiZnRu at its relaxed geometry, computed with GGA-PBE.

## Properties
The value obtained for the mass density is 9.83 Mg/m³. The formation energy comes out at 599 kJ/mol of formula units.

a b c (Å): 4.672 4.672 4.460
angles (deg): 90.00 90.00 90.00
Space group P4/mmm (No. 123)
Inequivalent atoms, fractional coordinates:
Ta  0.000  0.500  0.000 x2
Ti  0.000  0.000  0.500 x1
Zn  0.500  0.500  0.000 x1
Ru  0.500  0.500  0.500 x1

=====

8.
Crystalline Ta2TlRu at its relaxed geometry, computed with GGA-PBE.

## Properties
The value obtained for the mass density is 15.48 Mg/m³. The formation energy comes out at 90 kJ/mol of formula units.

a b c (Å): 3.352 4.550 9.389
angles (deg): 90.00 90.00 90.00
Space group Immm (No. 71)
Inequivalent atoms, fractional coordinates:
Ta  0.000  0.000  0.235 x4
Tl  0.000  0.500  0.000 x2
Ru  0.000  0.500  0.500 x2

=====

9.
Crystalline TaTlRu2 at its relaxed geometry, computed with GGA-PBE.

## Properties
The value obtained for the mass density is 13.56 Mg/m³. The formation energy comes out at 73 kJ/mol of formula units.

a b c (Å): 3.1415 3.1415 25.2589
angles (deg): 90.00 90.00 120.00
Space group R-3m (No. 166, hexagonal axes)
Inequivalent atoms, fractional coordinates:
Ta  0.0000  0.0000  0.0000 x3
Tl  0.0000  0.0000  0.5000 x3
Ru  0.0000  0.0000  0.2589 x6

=====

10.
Crystalline Ta2TlRu at its relaxed geometry, computed with GGA-PBE.

## Properties
The value obtained for the mass density is 15.39 Mg/m³. The formation energy comes out at 162 kJ/mol of formula units.

a b c (Å): 6.603 6.603 6.603
angles (deg): 90.00 90.00 90.00
Space group F-43m (No. 216)
Inequivalent atoms, fractional coordinates:
Ta  0.000  0.000  0.000 x4
Ta  0.250  0.250  0.250 x4
Tl  0.000  0.000  0.500 x4
Ru  0.250  0.250  0.750 x4

=====

11.
Crystalline Ta2TlRu at its relaxed geometry, computed with GGA-PBE.

## Properties
The value obtained for the mass density is 15.41 Mg/m³. The formation energy comes out at 138 kJ/mol of formula units.

a b c (Å): 4.028 4.028 8.862
angles (deg): 90.00 90.00 90.00
Space group I-4m2 (No. 119)
Inequivalent atoms, fractional coordinates:
Ta  0.000  0.000  0.000 x2
Ta  0.000  0.500  0.250 x2
Tl  0.000  0.500  0.750 x2
Ru  0.000  0.000  0.500 x2

=====

12.
Crystalline Ta2TlRu at its relaxed geometry, computed with GGA-PBE.

## Properties
The value obtained for the mass density is 14.76 Mg/m³. The formation energy comes out at 60 kJ/mol of formula units.

a b c (Å): 3.145 3.145 7.589
angles (deg): 90.00 90.00 90.00
Space group P4mm (No. 99)
Inequivalent atoms, fractional coordinates:
Ta  0.000  0.000  0.000 x1
Ta  0.500  0.500  0.251 x1
Tl  0.000  0.000  0.544 x1
Ru  0.500  0.500  0.816 x1

=====

Which of these has the highest mass density? number 8

=====

What did the second record say?
Crystalline Ta2TiRu at its relaxed geometry, computed with GGA-PBE.

## Properties
The value obtained for the mass density is 11.68 Mg/m³. The formation energy comes out at 130 kJ/mol of formula units.

a b c (Å): 7.305 7.305 5.444
angles (deg): 90.00 90.00 90.00
Space group I-42d (No. 122)
Inequivalent atoms, fractional coordinates:
Ta  0.220  0.250  0.125 x8
Ti  0.000  0.000  0.500 x4
Ru  0.000  0.000  0.000 x4

=====

Please write out number 9 again, unchanged.
Crystalline TaTlRu2 at its relaxed geometry, computed with GGA-PBE.

## Properties
The value obtained for the mass density is 13.56 Mg/m³. The formation energy comes out at 73 kJ/mol of formula units.

a b c (Å): 3.1415 3.1415 25.2589
angles (deg): 90.00 90.00 120.00
Space group R-3m (No. 166, hexagonal axes)
Inequivalent atoms, fractional coordinates:
Ta  0.0000  0.0000  0.0000 x3
Tl  0.0000  0.0000  0.5000 x3
Ru  0.0000  0.0000  0.2589 x6